# PBE+U NiCl3F, optimized geometry
# E above lowest polymorph: 0.000 eV per atom
# SG: No. 221
data_NiCl3F
_chemical_formula_sum 'Ni1 Cl3 F1'
_symmetry_space_group_name_H-M 'P 1'
_symmetry_Int_Tables_number 1
_cell_length_a 4.737
_cell_length_b 4.737
_cell_length_c 4.737
_cell_angle_alpha 90.00
_cell_angle_beta 90.00
_cell_angle_gamma 90.00
loop_
_symmetry_equiv_pos_as_xyz
'x,y,z'
loop_
_atom_site_label
_atom_site_type_symbol
_atom_site_fract_x
_atom_site_fract_y
_atom_site_fract_z
_atom_site_occupancy
Ni1 Ni 0.000 0.000 0.000 1
Cl1 Cl 0.000 0.000 0.500 1
Cl2 Cl 0.000 0.500 0.000 1
Cl3 Cl 0.500 0.000 0.000 1
F1 F 0.500 0.500 0.500 1